(1)
Dy3Er2Sc3 | PBE | optimized geometry

Cell lengths 4.788, 4.894, 10.314 Å; angles 103.72, 103.42, 90.00 degrees
Element x y z (fractional)
Dy  0.622  0.622  0.244
Dy  0.378  0.378  0.756
Dy  0.500  0.000  0.000
Er  0.749  0.249  0.498
Er  0.251  0.751  0.502
Sc  0.124  0.124  0.248
Sc  0.000  0.500  0.000
Sc  0.876  0.876  0.752

Properties
calculated total energy	-5.193	eV/atom
V	228	Å³ per cell
DOS(E_F)	12.37	states/eV/cell
calculated density	6.970	g/cm³

(2)
Dy5ErSc5 | PBE | optimized geometry

Cell lengths 5.773, 5.773, 11.269 Å; angles 90.00, 90.00, 120.00 degrees
Site moments in Bohr magnetons follow the coordinates.
Element x y z (fractional)
Dy  0.667  0.333  0.159  0.07
Dy  0.667  0.333  0.841  0.07
Dy  0.333  0.667  0.318  0.22
Dy  0.333  0.667  0.682  0.22
Dy  0.000  0.000  0.000  -0.02
Er  0.333  0.667  0.000  0.00
Sc  0.329  0.165  0.500  0.13
Sc  0.000  0.000  0.269  0.27
Sc  0.835  0.671  0.500  0.13
Sc  0.835  0.165  0.500  0.13
Sc  0.000  0.000  0.731  0.27

Properties
calculated total energy	-5.141	eV/atom
V	325	Å³ per cell
DOS(E_F)	22.12	states/eV/cell
calculated density	6.151	g/cm³

(3)
Dy9Er11Sc4 | PBE | optimized geometry

Cell lengths 3.576, 14.835, 14.835 Å; angles 113.04, 90.00, 90.00 degrees
Element x y z (fractional)
Dy  0.500  0.629  0.165
Dy  0.500  0.371  0.835
Dy  0.500  0.165  0.629
Dy  0.500  0.835  0.371
Dy  0.500  0.783  0.928
Dy  0.500  0.217  0.072
Dy  0.500  0.928  0.783
Dy  0.500  0.072  0.217
Dy  0.500  0.500  0.500
Er  0.000  0.593  0.953
Er  0.000  0.407  0.047
Er  0.000  0.953  0.593
Er  0.000  0.047  0.407
Er  0.000  0.630  0.370
Er  0.000  0.370  0.630
Er  0.000  0.840  0.160
Er  0.000  0.160  0.840
Er  0.000  0.000  0.000
Er  0.000  0.703  0.703
Er  0.000  0.297  0.297
Sc  0.500  0.554  0.757
Sc  0.500  0.446  0.243
Sc  0.500  0.757  0.554
Sc  0.500  0.243  0.446

Properties
calculated total energy	-4.829	eV/atom
V	724	Å³ per cell
DOS(E_F)	32.45	states/eV/cell
calculated density	7.985	g/cm³

(4)
Dy2Er5Sc5 | PBE | optimized geometry

Cell lengths 5.403, 8.772, 8.464 Å; angles 65.61, 71.39, 72.06 degrees
Element x y z (fractional)
Dy  0.907  0.425  0.760
Dy  0.093  0.575  0.240
Er  0.820  0.861  0.500
Er  0.264  0.701  0.770
Er  0.736  0.299  0.230
Er  0.180  0.139  0.500
Er  0.000  0.000  0.000
Sc  0.500  0.500  0.500
Sc  0.348  0.275  0.029
Sc  0.430  0.875  0.265
Sc  0.570  0.125  0.735
Sc  0.652  0.725  0.971

Properties
calculated total energy	-5.223	eV/atom
V	339	Å³ per cell
DOS(E_F)	23.69	states/eV/cell
calculated density	6.791	g/cm³